Record 1
Below is a relaxed Rb2Ga2P crystal, with properties calculated at the PBE level.

Geometry as CIF:
```
data_Rb2Ga2P
_chemical_formula_sum 'Rb4 Ga4 P2'
_symmetry_space_group_name_H-M 'P 4/m b m'
_symmetry_Int_Tables_number 127
_symmetry_space_group_name_Hall '-P 4 2ab'
_cell_length_a 7.011
_cell_length_b 7.011
_cell_length_c 5.871
_cell_angle_alpha 90.00
_cell_angle_beta 90.00
_cell_angle_gamma 90.00
loop_
_atom_site_label
_atom_site_type_symbol
_atom_site_fract_x
_atom_site_fract_y
_atom_site_fract_z
Rb1 Rb 0.193 0.307 0.000
Ga1 Ga 0.130 0.630 0.500
P1 P 0.000 0.000 0.500
```

- formation enthalpy at 0 K (eV per atom) = 0.040
- total moment (μB/f.u.) = 0.00
- calculated total energy (eV/cell) = -26.40

=====

Record 2
Below is a relaxed Rb2Ga2P2S crystal, with properties calculated at the PBE level.

Geometry as CIF:
```
data_Rb2Ga2P2S
_chemical_formula_sum 'Rb2 Ga2 P2 S1'
_symmetry_space_group_name_H-M 'P -1'
_symmetry_Int_Tables_number 2
_symmetry_space_group_name_Hall '-P 1'
_cell_length_a 4.047
_cell_length_b 7.074
_cell_length_c 7.626
_cell_angle_alpha 72.66
_cell_angle_beta 89.79
_cell_angle_gamma 89.88
loop_
_atom_site_label
_atom_site_type_symbol
_atom_site_fract_x
_atom_site_fract_y
_atom_site_fract_z
Rb1 Rb 0.001 0.333 0.275
Ga1 Ga 0.499 0.189 0.711
P1 P 0.002 0.846 0.097
S1 S 0.500 0.000 0.500
```

- total moment (μB/f.u.) = 0.00
- calculated total energy (eV/cell) = -25.59
- uncorrected formation energy (eV/atom) = -0.3793

=====

Record 3
Below is a relaxed RbGaP2S crystal, with properties calculated at the PBE level.

Geometry as CIF:
```
data_RbGaP2S
_chemical_formula_sum 'Rb1 Ga1 P2 S1'
_symmetry_space_group_name_H-M 'P 4/m m m'
_symmetry_Int_Tables_number 123
_symmetry_space_group_name_Hall '-P 4 2'
_cell_length_a 6.318
_cell_length_b 6.318
_cell_length_c 5.932
_cell_angle_alpha 90.00
_cell_angle_beta 90.00
_cell_angle_gamma 90.00
loop_
_atom_site_label
_atom_site_type_symbol
_atom_site_fract_x
_atom_site_fract_y
_atom_site_fract_z
Rb1 Rb 0.000 0.000 0.000
Ga1 Ga 0.500 0.500 0.500
P1 P 0.000 0.500 0.000
S1 S 0.000 0.000 0.500
```

- total moment (μB/f.u.) = 6.03
- calculated total energy (eV/cell) = -11.15
- polymorph energy (0 for the lowest one) (eV per atom) = 1.248
- uncorrected formation energy (eV/atom) = 1.5583

=====

Record 4
Below is a relaxed RbGaPS2 crystal, with properties calculated at the PBE level.

Geometry as CIF:
```
data_RbGaPS2
_chemical_formula_sum 'Rb1 Ga1 P1 S2'
_symmetry_space_group_name_H-M 'P 4/m m m'
_symmetry_Int_Tables_number 123
_symmetry_space_group_name_Hall '-P 4 2'
_cell_length_a 5.993
_cell_length_b 5.993
_cell_length_c 6.251
_cell_angle_alpha 90.00
_cell_angle_beta 90.00
_cell_angle_gamma 90.00
loop_
_atom_site_label
_atom_site_type_symbol
_atom_site_fract_x
_atom_site_fract_y
_atom_site_fract_z
Rb1 Rb 0.000 0.000 0.000
Ga1 Ga 0.500 0.500 0.500
P1 P 0.000 0.000 0.500
S1 S 0.000 0.500 0.000
```

- total moment (μB/f.u.) = 5.01
- calculated total energy (eV/cell) = -11.41
- polymorph energy (0 for the lowest one) (eV per atom) = 1.206
- uncorrected formation energy (eV/atom) = 1.2496

=====

Record 5
Below is a relaxed RbGaPS2 crystal, with properties calculated at the PBE level.

Geometry as CIF:
```
data_RbGaPS2
_chemical_formula_sum 'Rb1 Ga1 P1 S2'
_symmetry_space_group_name_H-M 'P 4/m m m'
_symmetry_Int_Tables_number 123
_symmetry_space_group_name_Hall '-P 4 2'
_cell_length_a 5.024
_cell_length_b 5.024
_cell_length_c 4.805
_cell_angle_alpha 90.00
_cell_angle_beta 90.00
_cell_angle_gamma 90.00
loop_
_atom_site_label
_atom_site_type_symbol
_atom_site_fract_x
_atom_site_fract_y
_atom_site_fract_z
Rb1 Rb 0.000 0.000 0.000
Ga1 Ga 0.500 0.500 0.500
P1 P 0.500 0.500 0.000
S1 S 0.000 0.500 0.500
```

- total moment (μB/f.u.) = 0.96
- calculated total energy (eV/cell) = -17.44
- polymorph energy (0 for the lowest one) (eV per atom) = 0.000
- uncorrected formation energy (eV/atom) = 0.0432

=====

Record 6
Below is a relaxed RbGaP2S crystal, with properties calculated at the PBE level.

Geometry as CIF:
```
data_RbGaP2S
_chemical_formula_sum 'Rb1 Ga1 P2 S1'
_symmetry_space_group_name_H-M 'P 4/m m m'
_symmetry_Int_Tables_number 123
_symmetry_space_group_name_Hall '-P 4 2'
_cell_length_a 4.866
_cell_length_b 4.866
_cell_length_c 5.162
_cell_angle_alpha 90.00
_cell_angle_beta 90.00
_cell_angle_gamma 90.00
loop_
_atom_site_label
_atom_site_type_symbol
_atom_site_fract_x
_atom_site_fract_y
_atom_site_fract_z
Rb1 Rb 0.000 0.000 0.000
Ga1 Ga 0.500 0.500 0.500
P1 P 0.000 0.500 0.500
S1 S 0.500 0.500 0.000
```

- total moment (μB/f.u.) = 1.25
- calculated total energy (eV/cell) = -17.39
- polymorph energy (0 for the lowest one) (eV per atom) = 0.000
- uncorrected formation energy (eV/atom) = 0.3099

=====

Record 7
Below is a relaxed RbGa2PS6 crystal, with properties calculated at the PBE level.

Geometry as CIF:
```
data_RbGa2PS6
_chemical_formula_sum 'Rb4 Ga8 P4 S24'
_symmetry_space_group_name_H-M 'C 1 2/c 1'
_symmetry_Int_Tables_number 15
_symmetry_space_group_name_Hall '-C 2yc'
_cell_length_a 13.314
_cell_length_b 13.381
_cell_length_c 7.257
_cell_angle_alpha 90.00
_cell_angle_beta 115.08
_cell_angle_gamma 90.00
loop_
_atom_site_label
_atom_site_type_symbol
_atom_site_fract_x
_atom_site_fract_y
_atom_site_fract_z
Rb1 Rb 0.000 0.088 0.250
Ga1 Ga 0.205 0.427 0.102
P1 P 0.000 0.246 0.750
S1 S 0.051 0.326 0.020
S2 S 0.119 0.162 0.708
S3 S 0.219 0.439 0.436
```

- total moment (μB/f.u.) = 0.00
- calculated total energy (eV/cell) = -169.90
- uncorrected formation energy (eV/atom) = -0.5279

=====

Record 8
Below is a relaxed Rb2Ga2Sb2P crystal, with properties calculated at the PBE level.

Geometry as CIF:
```
data_Rb2Ga2Sb2P
_chemical_formula_sum 'Rb2 Ga2 Sb2 P1'
_symmetry_space_group_name_H-M 'P -1'
_symmetry_Int_Tables_number 2
_symmetry_space_group_name_Hall '-P 1'
_cell_length_a 4.434
_cell_length_b 7.461
_cell_length_c 8.604
_cell_angle_alpha 69.95
_cell_angle_beta 75.10
_cell_angle_gamma 72.89
loop_
_atom_site_label
_atom_site_type_symbol
_atom_site_fract_x
_atom_site_fract_y
_atom_site_fract_z
Rb1 Rb 0.037 0.183 0.241
Ga1 Ga 0.324 0.645 0.212
Sb1 Sb 0.281 0.334 0.599
P1 P 0.500 0.500 0.000
```

- total moment (μB/f.u.) = 0.00
- calculated total energy (eV/cell) = -22.81
- uncorrected formation energy (eV/atom) = -0.1662

=====

Record 9
Below is a relaxed RbGaTeP2 crystal, with properties calculated at the PBE level.

Geometry as CIF:
```
data_RbGaTeP2
_chemical_formula_sum 'Rb1 Ga1 Te1 P2'
_symmetry_space_group_name_H-M 'P 4/m m m'
_symmetry_Int_Tables_number 123
_symmetry_space_group_name_Hall '-P 4 2'
_cell_length_a 4.855
_cell_length_b 4.855
_cell_length_c 6.136
_cell_angle_alpha 90.00
_cell_angle_beta 90.00
_cell_angle_gamma 90.00
loop_
_atom_site_label
_atom_site_type_symbol
_atom_site_fract_x
_atom_site_fract_y
_atom_site_fract_z
Rb1 Rb 0.000 0.000 0.000
Ga1 Ga 0.000 0.000 0.500
Te1 Te 0.500 0.500 0.000
P1 P 0.000 0.500 0.500
```

- total moment (μB/f.u.) = 0.00
- calculated total energy (eV/cell) = -15.16
- uncorrected formation energy (eV/atom) = 0.5590

=====

Record 10
Below is a relaxed RbTlGaP2 crystal, with properties calculated at the PBE level.

Geometry as CIF:
```
data_RbTlGaP2
_chemical_formula_sum 'Rb1 Tl1 Ga1 P2'
_symmetry_space_group_name_H-M 'P 4/m m m'
_symmetry_Int_Tables_number 123
_symmetry_space_group_name_Hall '-P 4 2'
_cell_length_a 5.656
_cell_length_b 5.656
_cell_length_c 5.800
_cell_angle_alpha 90.00
_cell_angle_beta 90.00
_cell_angle_gamma 90.00
loop_
_atom_site_label
_atom_site_type_symbol
_atom_site_fract_x
_atom_site_fract_y
_atom_site_fract_z
Rb1 Rb 0.000 0.000 0.000
Tl1 Tl 0.500 0.500 0.500
Ga1 Ga 0.000 0.000 0.500
P1 P 0.000 0.500 0.000
```

- formation enthalpy at 0 K (eV per atom) = 1.329
- total moment (μB/f.u.) = 0.00
- calculated total energy (eV/cell) = -10.53

=====

Record 11
Below is a relaxed Rb2ZnGaP crystal, with properties calculated at the PBE level.

Geometry as CIF:
```
data_Rb2ZnGaP
_chemical_formula_sum 'Rb2 Zn1 Ga1 P1'
_symmetry_space_group_name_H-M 'P 4/m m m'
_symmetry_Int_Tables_number 123
_symmetry_space_group_name_Hall '-P 4 2'
_cell_length_a 6.819
_cell_length_b 6.819
_cell_length_c 4.342
_cell_angle_alpha 90.00
_cell_angle_beta 90.00
_cell_angle_gamma 90.00
loop_
_atom_site_label
_atom_site_type_symbol
_atom_site_fract_x
_atom_site_fract_y
_atom_site_fract_z
Rb1 Rb 0.000 0.500 0.000
Zn1 Zn 0.000 0.000 0.000
Ga1 Ga 0.500 0.500 0.500
P1 P 0.000 0.000 0.500
```

- formation enthalpy at 0 K (eV per atom) = 0.200
- total moment (μB/f.u.) = 0.00
- calculated total energy (eV/cell) = -10.65

=====

Record 12
Below is a relaxed RbZrGaP2 crystal, with properties calculated at the PBE level.

Geometry as CIF:
```
data_RbZrGaP2
_chemical_formula_sum 'Rb1 Zr1 Ga1 P2'
_symmetry_space_group_name_H-M 'P 4/m m m'
_symmetry_Int_Tables_number 123
_symmetry_space_group_name_Hall '-P 4 2'
_cell_length_a 5.047
_cell_length_b 5.047
_cell_length_c 5.136
_cell_angle_alpha 90.00
_cell_angle_beta 90.00
_cell_angle_gamma 90.00
loop_
_atom_site_label
_atom_site_type_symbol
_atom_site_fract_x
_atom_site_fract_y
_atom_site_fract_z
Rb1 Rb 0.000 0.000 0.000
Zr1 Zr 0.500 0.500 0.000
Ga1 Ga 0.500 0.500 0.500
P1 P 0.000 0.500 0.500
```

- formation enthalpy at 0 K (eV per atom) = 0.690
- total moment (μB/f.u.) = 1.15
- calculated total energy (eV/cell) = -19.91

=====

Repeat the eighth record exactly.
Below is a relaxed Rb2Ga2Sb2P crystal, with properties calculated at the PBE level.

Geometry as CIF:
```
data_Rb2Ga2Sb2P
_chemical_formula_sum 'Rb2 Ga2 Sb2 P1'
_symmetry_space_group_name_H-M 'P -1'
_symmetry_Int_Tables_number 2
_symmetry_space_group_name_Hall '-P 1'
_cell_length_a 4.434
_cell_length_b 7.461
_cell_length_c 8.604
_cell_angle_alpha 69.95
_cell_angle_beta 75.10
_cell_angle_gamma 72.89
loop_
_atom_site_label
_atom_site_type_symbol
_atom_site_fract_x
_atom_site_fract_y
_atom_site_fract_z
Rb1 Rb 0.037 0.183 0.241
Ga1 Ga 0.324 0.645 0.212
Sb1 Sb 0.281 0.334 0.599
P1 P 0.500 0.500 0.000
```

- total moment (μB/f.u.) = 0.00
- calculated total energy (eV/cell) = -22.81
- uncorrected formation energy (eV/atom) = -0.1662

=====

Which of these has the lowest calculated total energy?
RbGa2PS6